[1]
A plane-wave DFT calculation with PBE-GGA was carried out for a relaxed structure of Ac3Cd2InHg6.

Values from the calculation:
For the total energy, the calculation gives -21.8 eV/cell. For the mass density, the calculation gives 10.33 g/cm³. The space group is P-3m1.

Unit cell a=6.514 b=6.514 c=9.731 alpha=90.00 beta=90.00 gamma=120.00
Fractional coordinates of all 12 atoms:
1 Ac 0.333 0.667 0.612
2 Ac 0.667 0.333 0.388
3 Ac 0.000 0.000 0.000
4 Cd 0.667 0.333 0.020
5 Cd 0.333 0.667 0.980
6 In 0.000 0.000 0.500
7 Hg 0.643 0.822 0.268
8 Hg 0.178 0.357 0.268
9 Hg 0.178 0.822 0.268
10 Hg 0.822 0.643 0.732
11 Hg 0.357 0.178 0.732
12 Hg 0.822 0.178 0.732

***

[2]
A plane-wave DFT calculation with PBE-GGA was carried out for a relaxed structure of AcCdIn2Hg2.

Values from the calculation:
For the total energy, the calculation gives -12.8 eV/cell. For the mass density, the calculation gives 9.79 g/cm³. The space group is P-3m1.

Unit cell a=5.020 b=5.020 c=7.542 alpha=90.00 beta=90.00 gamma=120.00
Fractional coordinates of all 6 atoms:
1 Ac 0.000 0.000 0.000
2 Cd 0.000 0.000 0.500
3 In 0.667 0.333 0.684
4 In 0.333 0.667 0.316
5 Hg 0.667 0.333 0.229
6 Hg 0.333 0.667 0.771

***

[3]
A plane-wave DFT calculation with PBE-GGA was carried out for a relaxed structure of Ac2CdIn3Hg6.

Values from the calculation:
For the total energy, the calculation gives -19.7 eV/cell. For the mass density, the calculation gives 8.42 g/cm³. The space group is P4/mmm.

Unit cell a=4.813 b=4.813 c=17.997 alpha=90.00 beta=90.00 gamma=90.00
Fractional coordinates of all 12 atoms:
1 Ac 0.500 0.500 0.264
2 Ac 0.500 0.500 0.736
3 Cd 0.500 0.500 0.500
4 In 0.000 0.000 0.309
5 In 0.000 0.000 0.691
6 In 0.000 0.000 0.000
7 Hg 0.000 0.500 0.592
8 Hg 0.500 0.000 0.408
9 Hg 0.500 0.000 0.592
10 Hg 0.000 0.000 0.154
11 Hg 0.000 0.500 0.408
12 Hg 0.000 0.000 0.846

***

[4]
A plane-wave DFT calculation with PBE-GGA was carried out for a relaxed structure of Ac2Cd4InHg3.

Values from the calculation:
For the total energy, the calculation gives -18.5 eV/cell. For the mass density, the calculation gives 9.79 g/cm³. The space group is P-4m2.

Unit cell a=4.738 b=4.738 c=12.239 alpha=90.00 beta=90.00 gamma=90.00
Fractional coordinates of all 10 atoms:
1 Ac 0.500 0.000 0.249
2 Ac 0.000 0.500 0.751
3 Cd 0.500 0.500 0.000
4 Cd 0.000 0.000 0.000
5 Cd 0.500 0.000 0.636
6 Cd 0.000 0.500 0.364
7 In 0.500 0.500 0.500
8 Hg 0.000 0.000 0.500
9 Hg 0.500 0.000 0.862
10 Hg 0.000 0.500 0.138